Record 1
Density functional theory data (GGA-PBE) for a geometry-optimized PrInHgS3 structure.

Geometry as POSCAR:
```
PrInHgS3
1.0
2.136 -7.475 0.000
2.136 7.475 0.000
0.000 0.000 10.833
Pr In Hg S
2 2 2 6
Direct
0.000 0.000 0.000
0.000 0.000 0.500
0.316 0.684 0.750
0.684 0.316 0.250
0.367 0.633 0.250
0.633 0.367 0.750
0.059 0.941 0.250
0.371 0.629 0.030
0.371 0.629 0.470
0.629 0.371 0.530
0.629 0.371 0.970
0.941 0.059 0.750
```

As for the total energy: -4.290 eV/atom.

Record 2
Density functional theory data (GGA-PBE) for a geometry-optimized PrInHgSe3 structure.

Geometry as POSCAR:
```
PrInHgSe3
1.0
2.166 -7.173 0.000
2.166 7.173 0.000
0.000 0.000 11.305
Pr In Hg Se
2 2 2 6
Direct
0.000 0.000 0.000
0.000 0.000 0.500
0.250 0.750 0.750
0.750 0.250 0.250
0.461 0.539 0.250
0.539 0.461 0.750
0.083 0.917 0.250
0.360 0.640 0.054
0.360 0.640 0.446
0.640 0.360 0.554
0.640 0.360 0.946
0.917 0.083 0.750
```

As for the total energy: -3.928 eV/atom.